# 1
Compound: Sc2Fe2Se
Source: the Alexandria database
Functional: PBE-GGA
Structure: relaxed

Cell: 7.136 7.136 3.777 Å, 90.00 90.00 90.00°
Positions (direct):
1 Sc 0.170 0.330 0.000
2 Sc 0.330 0.830 0.000
3 Sc 0.670 0.170 0.000
4 Sc 0.830 0.670 0.000
5 Fe 0.108 0.608 0.500
6 Fe 0.392 0.108 0.500
7 Fe 0.608 0.892 0.500
8 Fe 0.892 0.392 0.500
9 Se 0.000 0.000 0.000
10 Se 0.500 0.500 0.000

Summary:
DOS(E_F) ... 2.5 states/eV/f.u.
Symmetry ... No. 127
Excess energy over the best structure of this formula in the dataset ... 7.12 kcal/mol of atoms
Formation energy from raw total energies ... -0.129 eV/atom

***

# 2
Compound: ScFe2Se
Source: the Alexandria database
Functional: PBE-GGA
Structure: relaxed

Cell: 4.837 4.837 4.837 Å, 132.96 132.96 68.71°
Positions (direct):
1 Sc 0.000 0.000 0.000
2 Fe 0.500 0.500 0.000
3 Fe 0.750 0.250 0.500
4 Se 0.250 0.750 0.500

Summary:
DOS(E_F) ... 4.0 states/eV/f.u.
Symmetry ... No. 119
Formation energy from raw total energies ... -0.082 eV/atom

***

# 3
Compound: ScFeSe2
Source: the Alexandria database
Functional: PBE-GGA
Structure: relaxed

Cell: 6.540 6.540 6.540 Å, 148.90 148.60 44.78°
Positions (direct):
1 Sc 0.000 0.000 0.000
2 Fe 0.756 0.256 0.500
3 Se 0.332 0.832 0.500
4 Se 0.592 0.592 0.000

Summary:
DOS(E_F) ... 1.2 states/eV/f.u.
Symmetry ... No. 44
Excess energy over the best structure of this formula in the dataset ... 1.35 kcal/mol of atoms
Formation energy from raw total energies ... -0.815 eV/atom

***

# 4
Compound: Sc2Fe2Se
Source: the Alexandria database
Functional: PBE-GGA
Structure: relaxed

Cell: 8.080 8.080 8.080 Å, 155.89 155.89 34.36°
Positions (direct):
1 Sc 0.111 0.111 0.000
2 Sc 0.889 0.889 0.000
3 Fe 0.250 0.750 0.500
4 Fe 0.750 0.250 0.500
5 Se 0.500 0.500 0.000

Summary:
DOS(E_F) ... 4.0 states/eV/f.u.
Symmetry ... No. 139
Excess energy over the best structure of this formula in the dataset ... 0.00 kcal/mol of atoms
Formation energy from raw total energies ... -0.438 eV/atom

***

# 5
Compound: ScFeSe2
Source: the Alexandria database
Functional: PBE-GGA
Structure: relaxed

Cell: 4.550 4.550 4.550 Å, 60.00 60.00 60.00°
Positions (direct):
1 Sc 0.000 0.000 0.000
2 Fe 0.500 0.500 0.500
3 Se 0.250 0.250 0.250
4 Se 0.750 0.750 0.750

Summary:
DOS(E_F) ... 4.5 states/eV/f.u.
Symmetry ... No. 225
Excess energy over the best structure of this formula in the dataset ... 11.16 kcal/mol of atoms
Formation energy from raw total energies ... -0.390 eV/atom

***

# 6
Compound: ScFeSe2
Source: the Alexandria database
Functional: PBE-GGA
Structure: relaxed

Cell: 7.225 7.225 7.225 Å, 133.38 133.38 68.06°
Positions (direct):
1 Sc 0.000 0.000 0.000
2 Sc 0.750 0.250 0.500
3 Fe 0.250 0.750 0.500
4 Fe 0.500 0.500 0.000
5 Se 0.152 0.625 0.027
6 Se 0.375 0.402 0.527
7 Se 0.598 0.125 0.973
8 Se 0.875 0.848 0.473

Summary:
DOS(E_F) ... 5.8 states/eV/f.u.
Symmetry ... No. 122
Excess energy over the best structure of this formula in the dataset ... 3.42 kcal/mol of atoms
Formation energy from raw total energies ... -0.725 eV/atom

***

# 7
Compound: Sc2FeSe
Source: the Alexandria database
Functional: PBE-GGA
Structure: relaxed

Cell: 8.334 8.334 8.334 Å, 23.97 23.97 23.97°
Positions (direct):
1 Sc 0.093 0.093 0.093
2 Sc 0.907 0.907 0.907
3 Fe 0.000 0.000 0.000
4 Se 0.500 0.500 0.500

Summary:
DOS(E_F) ... 2.1 states/eV/f.u.
Symmetry ... No. 166
Formation energy from raw total energies ... -0.141 eV/atom

***

# 8
Compound: ScFeSe4
Source: the Alexandria database
Functional: PBE-GGA
Structure: relaxed

Cell: 5.622 5.622 5.622 Å, 60.00 60.00 60.00°
Positions (direct):
1 Sc 0.000 0.000 0.000
2 Fe 0.250 0.250 0.250
3 Se 0.126 0.625 0.625
4 Se 0.625 0.126 0.625
5 Se 0.625 0.625 0.126
6 Se 0.625 0.625 0.625

Summary:
DOS(E_F) ... 6.8 states/eV/f.u.
Symmetry ... No. 216
Formation energy from raw total energies ... 0.510 eV/atom